No. 1
Density functional theory data (PBE-GGA) for an optimized crystal structure of K2Si2Sb.

Cell and atoms, written as POSCAR:
```
K2Si2Sb
1.0
-5.6540 4.5963 0.6041
-0.6354 0.1755 -7.2818
-3.4192 -4.2318 0.1963
K Si Sb
4 4 2
Direct
0.1923 0.6923 0.5000
0.8077 0.3077 0.5000
0.6923 0.8077 0.5000
0.3077 0.1923 0.5000
0.1085 0.3915 0.0000
0.3915 0.8915 0.0000
0.6085 0.1085 0.0000
0.8915 0.6085 0.0000
0.0000 0.0000 0.0000
0.5000 0.5000 0.0000
```

Results
* total moment: 0.0 μB/f.u.
* space group: P4/mbm
* E: -3.3841 eV/atom
* mass density: 2.9 g/cm³
* crystal system: tetragonal

No. 2
Density functional theory data (PBE-GGA) for an optimized crystal structure of Tb4Pm3Cd.

Cell and atoms, written as POSCAR:
```
Tb4Pm3Cd
1.0
-1.1341 -3.6983 1.4171
1.4136 -1.7549 -3.4487
13.2622 -1.6602 6.2809
Tb Pm Cd
4 3 1
Direct
0.0000 0.0000 0.1137
0.0000 0.0000 0.3712
0.0000 0.0000 0.8863
0.0000 0.0000 0.6288
0.5000 0.5000 0.7487
0.5000 0.5000 0.5000
0.5000 0.5000 0.2513
0.5000 0.5000 0.0000
```

Results
* total moment: 0.0 μB/f.u.
* space group: P4/mmm
* E: -4.1801 eV/atom
* mass density: 7.8 g/cm³
* crystal system: tetragonal

No. 3
Density functional theory data (PBE-GGA) for an optimized crystal structure of CaNdEr2As4.

Cell and atoms, written as POSCAR:
```
CaNdEr2As4
1.0
-1.3963 -2.0676 3.3304
6.8241 -1.7148 1.7966
2.6837 5.1177 4.3025
As Ca Er Nd
4 1 2 1
Direct
0.0000 0.7623 0.7458
0.5000 0.7635 0.2448
0.0000 0.2377 0.2542
0.5000 0.2365 0.7552
0.0000 0.5000 0.5000
0.5000 0.0000 0.5000
0.0000 0.0000 0.0000
0.5000 0.5000 0.0000
```

Results
* total moment: 0.0 μB/f.u.
* space group: P2/m
* E: -5.6666 eV/atom
* mass density: 6.6 g/cm³
* crystal system: monoclinic

No. 4
Density functional theory data (PBE-GGA) for an optimized crystal structure of ReAgIr2.

Cell and atoms, written as POSCAR:
```
ReAgIr2
1.0
-0.9702 3.2805 -2.0687
-2.3303 0.2103 1.4265
0.2888 3.3813 5.2266
Re Ir Ag
1 2 1
Direct
0.0000 0.5302 0.4725
0.5000 0.2334 0.2660
0.0000 0.9904 0.0074
0.5000 0.7460 0.7542
```

Results
* total moment: 0.0 μB/f.u.
* space group: Pm
* E: -7.9352 eV/atom
* mass density: 18.4 g/cm³
* crystal system: monoclinic

No. 5
Density functional theory data (PBE-GGA) for an optimized crystal structure of Cs2InF.

Cell and atoms, written as POSCAR:
```
Cs2InF
1.0
5.0730 6.0001 1.6353
-7.0710 3.4170 1.6536
1.4250 -6.6697 4.2301
Cs In F
4 2 2
Direct
0.3750 0.4904 0.6154
0.5096 0.1250 0.8846
0.2404 0.6250 0.1154
0.8750 0.7596 0.3846
0.7500 0.2500 0.5000
0.0000 0.0000 0.0000
0.5000 0.5000 0.0000
0.2500 0.7500 0.5000
```

Results
* total moment: 0.0 μB/f.u.
* space group: I-42d
* E: -2.6877 eV/atom
* mass density: 3.4 g/cm³
* crystal system: tetragonal

No. 6
Density functional theory data (PBE-GGA) for an optimized crystal structure of TmMnCoB2.

Cell and atoms, written as POSCAR:
```
TmMnCoB2
1.0
3.5225 0.0000 0.0000
0.0000 3.5225 0.0000
-1.7612 -1.7612 4.6498
Tm Mn Co B
1 1 1 2
Direct
0.0000 0.0000 0.0000
0.2500 0.7500 0.5000
0.7500 0.2500 0.5000
0.6283 0.6283 0.2567
0.3717 0.3717 0.7433
```

Results
* total moment: 2.0 μB/f.u.
* space group: I-4m2
* E: -7.3024 eV/atom
* mass density: 8.8 g/cm³
* crystal system: tetragonal

No. 7
Density functional theory data (PBE-GGA) for an optimized crystal structure of LiNdYIr.

Cell and atoms, written as POSCAR:
```
LiNdYIr
1.0
-4.2109 2.2173 -1.5703
-2.0839 -1.3723 -4.3460
-4.3166 -2.5457 -0.0157
Li Y Ir Nd
1 1 1 1
Direct
0.7500 0.7500 0.7500
0.0000 0.0000 0.0000
0.2500 0.2500 0.2500
0.5000 0.5000 0.5000
```

Results
* total moment: 0.0 μB/f.u.
* space group: F-43m
* E: -5.9736 eV/atom
* mass density: 8.1 g/cm³
* crystal system: cubic

No. 8
Density functional theory data (PBE-GGA) for an optimized crystal structure of Hf4TcIr2.

Cell and atoms, written as POSCAR:
```
Hf4TcIr2
1.0
5.2794 -0.0486 -1.8875
-2.6455 4.5917 -1.8315
-0.0280 0.0486 5.6066
Ir Hf Tc
2 4 1
Direct
0.5000 0.5000 0.0000
0.5000 0.0000 0.5000
0.0000 0.0000 0.5000
0.5000 0.5000 0.5000
0.0000 0.5000 0.0000
0.5000 0.0000 0.0000
0.0000 0.0000 0.0000
```

Results
* total moment: 0.0 μB/f.u.
* space group: I4/mmm
* E: -10.3644 eV/atom
* mass density: 14.6 g/cm³
* crystal system: tetragonal

Repeat the eighth record exactly.
Density functional theory data (PBE-GGA) for an optimized crystal structure of Hf4TcIr2.

Cell and atoms, written as POSCAR:
```
Hf4TcIr2
1.0
5.2794 -0.0486 -1.8875
-2.6455 4.5917 -1.8315
-0.0280 0.0486 5.6066
Ir Hf Tc
2 4 1
Direct
0.5000 0.5000 0.0000
0.5000 0.0000 0.5000
0.0000 0.0000 0.5000
0.5000 0.5000 0.5000
0.0000 0.5000 0.0000
0.5000 0.0000 0.0000
0.0000 0.0000 0.0000
```

Results
* total moment: 0.0 μB/f.u.
* space group: I4/mmm
* E: -10.3644 eV/atom
* mass density: 14.6 g/cm³
* crystal system: tetragonal